Entry 1:
Here is a geometry-optimized KTaFe4 structure from Alexandria. Energies are from PBE.

The structure belongs to space group F-43m (No. 216); the cell edges are 7.073, 7.073 and 7.073 Å and the angles 90.00°, 90.00° and 90.00°. The inequivalent atoms are K at (0.000, 0.000, 0.000), Ta at (0.250, 0.250, 0.750) and Fe at (0.124, 0.124, 0.376).

The total energy comes out at -7.049 eV/atom. The calculation puts the density of states at the Fermi level at 8.394 states/eV/f.u.


Entry 2:
Here is a geometry-optimized Th6BiTe3Ir2 structure from Alexandria. Energies are from PBE.

The structure belongs to space group C2/m (No. 12); the cell edges are 19.447, 4.277 and 9.251 Å and the angles 90.00°, 104.80° and 90.00°. The inequivalent atoms are Th at (0.019, 0.000, 0.264), Th at (0.173, 0.500, 0.128), Th at (0.178, 0.500, 0.556), Bi at (0.000, 0.500, 0.000), Te at (0.000, 0.500, 0.500), Te at (0.157, 0.000, 0.835) and Ir at (0.170, 0.000, 0.337).

The total energy comes out at -7.308 eV/atom. The calculation puts the density of states at the Fermi level at 10.176 states/eV/f.u.


Entry 3:
Here is a geometry-optimized Zn3CoRu structure from Alexandria. Energies are from PBE.

The structure belongs to space group Pm-3m (No. 221); the cell edges are 4.394, 4.394 and 4.394 Å and the angles 90.00°, 90.00° and 90.00°. The inequivalent atoms are Zn at (0.000, 0.000, 0.500), Co at (0.000, 0.000, 0.000) and Ru at (0.500, 0.500, 0.500).

The total energy comes out at -3.174 eV/atom. The calculation puts the density of states at the Fermi level at 6.508 states/eV/f.u. The distance to the lowest polymorph of the same formula comes out at 0.0 meV/atom.


Entry 4:
Here is a geometry-optimized Sm2MnH4 structure from Alexandria. Energies are from PBE.

The structure belongs to space group I4/mmm (No. 139); the cell edges are 3.471, 3.471 and 14.164 Å and the angles 90.00°, 90.00° and 90.00°. The inequivalent atoms are Sm at (0.000, 0.000, 0.133), Mn at (0.000, 0.000, 0.500), H at (0.000, 0.000, 0.379) and H at (0.000, 0.500, 0.000).

The total energy comes out at -4.880 eV/atom. The calculation puts the density of states at the Fermi level at 3.885 states/eV/f.u.


Entry 5:
Here is a geometry-optimized Ba3SI2 structure from Alexandria. Energies are from PBE.

The structure belongs to space group C2/m (No. 12); the cell edges are 8.217, 14.211 and 8.674 Å and the angles 90.00°, 108.40° and 90.00°. The inequivalent atoms are Ba at (0.211, 0.000, 0.207), Ba at (0.250, 0.178, 0.788), S at (0.000, 0.168, 0.000), I at (0.000, 0.000, 0.500), I at (0.000, 0.341, 0.500) and I at (0.000, 0.500, 0.000).

The total energy comes out at -3.736 eV/atom. The calculation puts the density of states at the Fermi level at 3.267 states/eV/f.u.


Entry 6:
Here is a geometry-optimized Bi2HIrO6 structure from Alexandria. Energies are from PBE.

The structure belongs to space group P2_1/c (No. 14); the cell edges are 5.587, 4.309 and 11.245 Å and the angles 90.00°, 116.11° and 90.00°. The inequivalent atoms are Bi at (0.193, 0.062, 0.189), H at (0.000, 0.000, 0.500), Ir at (0.500, 0.000, 0.000), O at (0.128, 0.238, 0.476), O at (0.224, 0.668, 0.331) and O at (0.417, 0.733, 0.117).

The total energy comes out at -5.767 eV/atom. The calculation puts the density of states at the Fermi level at 2.624 states/eV/f.u.


Please write out number 2 again, unchanged.
Here is a geometry-optimized Th6BiTe3Ir2 structure from Alexandria. Energies are from PBE.

The structure belongs to space group C2/m (No. 12); the cell edges are 19.447, 4.277 and 9.251 Å and the angles 90.00°, 104.80° and 90.00°. The inequivalent atoms are Th at (0.019, 0.000, 0.264), Th at (0.173, 0.500, 0.128), Th at (0.178, 0.500, 0.556), Bi at (0.000, 0.500, 0.000), Te at (0.000, 0.500, 0.500), Te at (0.157, 0.000, 0.835) and Ir at (0.170, 0.000, 0.337).

The total energy comes out at -7.308 eV/atom. The calculation puts the density of states at the Fermi level at 10.176 states/eV/f.u.